Material: PmTmAlCd
Method: DFT, PBE-GGA
State: optimized geometry

abc: 5.236 5.236 5.236
angles: 60.00 60.00 60.00
Fractional coordinates of all 4 atoms:
Pm 0.000 0.000 0.000
Tm 0.500 0.500 0.500
Al 0.250 0.250 0.250
Cd 0.750 0.750 0.750

**Distance to the lowest polymorph of the same formula**: 19 meV per atom
**Magnetization**: 0.00 μB per formula unit

---

Material: Na3SrSn
Method: DFT, PBE-GGA
State: optimized geometry

abc: 5.444 6.556 9.886
angles: 90.00 105.92 90.00
Fractional coordinates of all 10 atoms:
Na 0.015 0.250 0.029
Na 0.402 0.014 0.805
Na 0.402 0.486 0.805
Na 0.598 0.514 0.195
Na 0.598 0.986 0.195
Na 0.985 0.750 0.971
Sr 0.225 0.250 0.450
Sr 0.775 0.750 0.550
Sn 0.157 0.750 0.314
Sn 0.843 0.250 0.686

**Distance to the lowest polymorph of the same formula**: 0 meV per atom
**Magnetization**: 0.00 μB per formula unit

---

Material: W2CCl
Method: DFT, PBE-GGA
State: optimized geometry

abc: 5.896 5.896 5.896
angles: 126.20 126.20 79.56
Fractional coordinates of all 8 atoms:
W 0.061 0.625 0.936
W 0.375 0.311 0.436
W 0.689 0.125 0.064
W 0.875 0.939 0.564
C 0.000 0.000 0.000
C 0.750 0.250 0.500
Cl 0.250 0.750 0.500
Cl 0.500 0.500 0.000

**Energy relative to the elements, uncorrected**: 1.11 eV/atom
**Distance to the lowest polymorph of the same formula**: 0 meV per atom
**Magnetization**: 0.00 μB per formula unit

---

Material: Li12TmAu6
Method: DFT, PBE-GGA
State: optimized geometry

abc: 7.015 7.015 7.015
angles: 88.07 88.07 88.07
Fractional coordinates of all 19 atoms:
Li 0.015 0.904 0.314
Li 0.096 0.686 0.985
Li 0.097 0.458 0.336
Li 0.314 0.015 0.904
Li 0.336 0.097 0.458
Li 0.458 0.336 0.097
Li 0.542 0.664 0.903
Li 0.664 0.903 0.542
Li 0.686 0.985 0.096
Li 0.903 0.542 0.664
Li 0.904 0.314 0.015
Li 0.985 0.096 0.686
Tm 0.500 0.500 0.500
Au 0.212 0.774 0.630
Au 0.226 0.370 0.788
Au 0.370 0.788 0.226
Au 0.630 0.212 0.774
Au 0.774 0.630 0.212
Au 0.788 0.226 0.370

**VASP energy**: -0.2121 Ry per atom
**Magnetization**: 0.00 μB per formula unit

---

Material: Ho6Tl2Te
Method: DFT, PBE-GGA
State: optimized geometry

abc: 8.645 8.645 3.955
angles: 90.00 90.00 120.00
Fractional coordinates of all 9 atoms:
Ho 0.000 0.389 0.000
Ho 0.000 0.724 0.500
Ho 0.276 0.276 0.500
Ho 0.389 0.000 0.000
Ho 0.611 0.611 0.000
Ho 0.724 0.000 0.500
Tl 0.333 0.667 0.500
Tl 0.667 0.333 0.500
Te 0.000 0.000 0.000

**Energy relative to the elements, uncorrected**: -0.43 eV/atom
**Magnetization**: 0.49 μB per formula unit

---

Material: Na5Ca3Br12
Method: DFT, PBE-GGA
State: optimized geometry

abc: 14.960 14.960 14.960
angles: 109.47 109.47 109.47
Fractional coordinates of all 80 atoms:
Na 0.000 0.000 0.000
Na 0.000 0.000 0.500
Na 0.000 0.500 0.000
Na 0.000 0.500 0.500
Na 0.125 0.750 0.875
Na 0.125 0.875 0.250
Na 0.250 0.125 0.875
Na 0.250 0.625 0.375
Na 0.375 0.250 0.625
Na 0.375 0.625 0.750
Na 0.500 0.000 0.000
Na 0.500 0.000 0.500
Na 0.500 0.500 0.000
Na 0.500 0.500 0.500
Na 0.625 0.375 0.250
Na 0.625 0.750 0.375
Na 0.750 0.375 0.625
Na 0.750 0.875 0.125
Na 0.875 0.125 0.750
Na 0.875 0.250 0.125
Ca 0.125 0.250 0.375
Ca 0.125 0.375 0.750
Ca 0.250 0.375 0.125
Ca 0.250 0.875 0.625
Ca 0.375 0.125 0.250
Ca 0.375 0.750 0.125
Ca 0.625 0.250 0.875
Ca 0.625 0.875 0.750
Ca 0.750 0.125 0.375
Ca 0.750 0.625 0.875
Ca 0.875 0.625 0.250
Ca 0.875 0.750 0.625
Br 0.052 0.228 0.131
Br 0.052 0.324 0.921
Br 0.079 0.631 0.403
Br 0.079 0.948 0.676
Br 0.097 0.728 0.676
Br 0.097 0.869 0.421
Br 0.131 0.052 0.228
Br 0.131 0.579 0.903
Br 0.176 0.228 0.597
Br 0.176 0.448 0.579
Br 0.228 0.131 0.052
Br 0.228 0.597 0.176
Br 0.272 0.324 0.903
Br 0.272 0.448 0.369
Br 0.324 0.903 0.272
Br 0.324 0.921 0.052
Br 0.369 0.272 0.448
Br 0.369 0.597 0.921
Br 0.403 0.079 0.631
Br 0.403 0.824 0.772
Br 0.421 0.097 0.869
Br 0.421 0.824 0.552
Br 0.448 0.369 0.272
Br 0.448 0.579 0.176
Br 0.552 0.421 0.824
Br 0.552 0.631 0.728
Br 0.579 0.176 0.448
Br 0.579 0.903 0.131
Br 0.597 0.176 0.228
Br 0.597 0.921 0.369
Br 0.631 0.403 0.079
Br 0.631 0.728 0.552
Br 0.676 0.079 0.948
Br 0.676 0.097 0.728
Br 0.728 0.552 0.631
Br 0.728 0.676 0.097
Br 0.772 0.403 0.824
Br 0.772 0.869 0.948
Br 0.824 0.552 0.421
Br 0.824 0.772 0.403
Br 0.869 0.421 0.097
Br 0.869 0.948 0.772
Br 0.903 0.131 0.579
Br 0.903 0.272 0.324
Br 0.921 0.052 0.324
Br 0.921 0.369 0.597
Br 0.948 0.676 0.079
Br 0.948 0.772 0.869

**Energy relative to the elements, uncorrected**: -1.54 eV/atom
**Magnetization**: 0.93 μB per formula unit

---

Material: La2Pr4Ho5
Method: DFT, PBE-GGA
State: optimized geometry

abc: 10.334 10.334 6.499
angles: 93.37 93.37 33.03
Fractional coordinates of all 11 atoms:
La 0.098 0.098 0.045
La 0.902 0.902 0.955
Pr 0.195 0.195 0.575
Pr 0.468 0.468 0.238
Pr 0.532 0.532 0.762
Pr 0.805 0.805 0.425
Ho 0.000 0.000 0.500
Ho 0.287 0.287 0.105
Ho 0.367 0.367 0.631
Ho 0.633 0.633 0.369
Ho 0.713 0.713 0.895

**Distance to the lowest polymorph of the same formula**: 0 meV per atom
**Magnetization**: 0.00 μB per formula unit

---

Material: ReSi2Au
Method: DFT, PBE-GGA
State: optimized geometry

abc: 3.158 3.158 5.917
angles: 90.00 90.00 90.00
Fractional coordinates of all 4 atoms:
Re 0.000 0.000 0.000
Si 0.500 0.500 0.223
Si 0.500 0.500 0.777
Au 0.000 0.000 0.500

**Energy relative to the elements, uncorrected**: 0.06 eV/atom
**Distance to the lowest polymorph of the same formula**: 83 meV per atom
**Magnetization**: 0.00 μB per formula unit

---

Material: CeSmMg2
Method: DFT, PBE-GGA
State: optimized geometry

abc: 5.435 5.435 5.435
angles: 60.00 60.00 60.00
Fractional coordinates of all 4 atoms:
Ce 0.000 0.000 0.000
Sm 0.500 0.500 0.500
Mg 0.250 0.250 0.250
Mg 0.750 0.750 0.750

**Distance to the lowest polymorph of the same formula**: 0 meV per atom
**Magnetization**: 1.00 μB per formula unit

---

Material: Li3GaPd7
Method: DFT, PBE-GGA
State: optimized geometry

abc: 6.225 6.225 4.906
angles: 107.35 107.35 93.02
Fractional coordinates of all 11 atoms:
Li 0.000 0.000 0.000
Li 0.226 0.774 0.500
Li 0.774 0.226 0.500
Ga 0.500 0.500 0.000
Pd 0.068 0.588 0.818
Pd 0.187 0.187 0.558
Pd 0.412 0.932 0.182
Pd 0.500 0.500 0.500
Pd 0.588 0.068 0.818
Pd 0.813 0.813 0.442
Pd 0.932 0.412 0.182

**VASP energy**: -0.3169 Ry per atom
**Magnetization**: 0.00 μB per formula unit

---

Material: ScFe2Pb
Method: DFT, PBE-GGA
State: optimized geometry

abc: 3.055 4.360 5.612
angles: 90.00 96.90 90.00
Fractional coordinates of all 4 atoms:
Sc 0.000 0.000 0.000
Fe 0.351 0.500 0.801
Fe 0.649 0.500 0.199
Pb 0.500 0.000 0.500

**VASP energy**: -0.4772 Ry per atom
**Magnetization**: 4.57 μB per formula unit

---

Material: TlGa2C
Method: DFT, PBE-GGA
State: optimized geometry

abc: 4.753 4.753 4.753
angles: 60.00 60.00 60.00
Fractional coordinates of all 4 atoms:
Tl 0.000 0.000 0.000
Ga 0.250 0.250 0.250
Ga 0.750 0.750 0.750
C 0.500 0.500 0.500

**Distance to the lowest polymorph of the same formula**: 836 meV per atom
**Magnetization**: 0.00 μB per formula unit

---

Material: Dy3Si2Ni9Sn
Method: DFT, PBE-GGA
State: optimized geometry

abc: 5.843 5.843 8.896
angles: 90.00 90.00 120.00
Fractional coordinates of all 15 atoms:
Dy 0.000 0.000 0.000
Dy 0.333 0.667 0.714
Dy 0.667 0.333 0.286
Si 0.333 0.667 0.169
Si 0.667 0.333 0.831
Ni 0.000 0.500 0.000
Ni 0.140 0.279 0.266
Ni 0.140 0.860 0.266
Ni 0.279 0.140 0.734
Ni 0.500 0.000 0.000
Ni 0.500 0.500 0.000
Ni 0.721 0.860 0.266
Ni 0.860 0.140 0.734
Ni 0.860 0.721 0.734
Sn 0.000 0.000 0.500

**Energy relative to the elements, uncorrected**: -0.28 eV/atom
**Magnetization**: 0.00 μB per formula unit

---

Material: Ac3Ag4Pd2
Method: DFT, PBE-GGA
State: optimized geometry

abc: 6.389 6.389 9.411
angles: 111.15 111.15 42.10
Fractional coordinates of all 9 atoms:
Ac 0.000 0.000 0.000
Ac 0.319 0.319 0.352
Ac 0.681 0.681 0.648
Ag 0.031 0.031 0.370
Ag 0.271 0.271 0.932
Ag 0.729 0.729 0.068
Ag 0.969 0.969 0.630
Pd 0.388 0.388 0.729
Pd 0.612 0.612 0.271

**Distance to the lowest polymorph of the same formula**: 0 meV per atom
**Magnetization**: 0.00 μB per formula unit

---

Material: LiB4C4
Method: DFT, PBE-GGA
State: optimized geometry

abc: 4.569 7.541 5.408
angles: 90.00 90.00 90.00
Fractional coordinates of all 18 atoms:
Li 0.000 0.000 0.118
Li 0.500 0.500 0.882
B 0.133 0.270 0.875
B 0.135 0.271 0.375
B 0.365 0.771 0.625
B 0.367 0.770 0.125
B 0.633 0.230 0.125
B 0.635 0.229 0.625
B 0.865 0.729 0.375
B 0.867 0.730 0.875
C 0.203 0.771 0.375
C 0.204 0.769 0.875
C 0.296 0.269 0.125
C 0.297 0.271 0.625
C 0.703 0.729 0.625
C 0.704 0.731 0.125
C 0.796 0.231 0.875
C 0.797 0.229 0.375

**Distance to the lowest polymorph of the same formula**: 133 meV per atom
**Magnetization**: 0.00 μB per formula unit

---

Material: PaCrTc2
Method: DFT, PBE-GGA
State: optimized geometry

abc: 4.524 4.524 3.354
angles: 90.00 90.00 90.00
Fractional coordinates of all 4 atoms:
Pa 0.000 0.000 0.000
Cr 0.500 0.500 0.000
Tc 0.000 0.500 0.500
Tc 0.500 0.000 0.500

**Distance to the lowest polymorph of the same formula**: 0 meV per atom
**Magnetization**: 2.53 μB per formula unit

---

Material: Ce2Tl3
Method: DFT, PBE-GGA
State: optimized geometry

abc: 7.741 7.741 4.770
angles: 90.00 90.00 90.00
Fractional coordinates of all 10 atoms:
Ce 0.115 0.698 0.000
Ce 0.302 0.115 0.000
Ce 0.698 0.885 0.000
Ce 0.885 0.302 0.000
Tl 0.000 0.000 0.500
Tl 0.191 0.397 0.500
Tl 0.397 0.809 0.500
Tl 0.500 0.500 0.000
Tl 0.603 0.191 0.500
Tl 0.809 0.603 0.500

**Distance to the lowest polymorph of the same formula**: 0 meV per atom
**Magnetization**: 2.39 μB per formula unit

---

Material: NaSiAu
Method: DFT, PBE-GGA
State: optimized geometry

abc: 4.421 5.532 5.769
angles: 81.03 67.67 66.99
Fractional coordinates of all 6 atoms:
Na 0.230 0.198 0.341
Na 0.770 0.802 0.659
Si 0.066 0.784 0.084
Si 0.934 0.216 0.916
Au 0.422 0.389 0.768
Au 0.578 0.611 0.232

**Energy relative to the elements, uncorrected**: -0.21 eV/atom
**Magnetization**: 0.00 μB per formula unit

---

Material: V2B2S
Method: DFT, PBE-GGA
State: optimized geometry

abc: 4.244 4.244 4.244
angles: 121.04 121.04 88.21
Fractional coordinates of all 5 atoms:
V 0.250 0.750 0.500
V 0.750 0.250 0.500
B 0.146 0.146 0.000
B 0.854 0.854 0.000
S 0.500 0.500 0.000

**Energy relative to the elements, uncorrected**: 0.17 eV/atom
**Distance to the lowest polymorph of the same formula**: 409 meV per atom
**Magnetization**: 0.00 μB per formula unit

---

Material: LiCr2Mo
Method: DFT, PBE-GGA
State: optimized geometry

abc: 4.472 4.472 5.007
angles: 91.40 91.40 31.58
Fractional coordinates of all 4 atoms:
Li 0.000 0.000 0.000
Cr 0.501 0.501 0.484
Cr 0.747 0.747 0.243
Mo 0.252 0.252 0.746

**Distance to the lowest polymorph of the same formula**: 188 meV per atom
**Magnetization**: 0.00 μB per formula unit